# PBE Pm6P2IrCl3, optimized geometry
data_Pm6P2IrCl3
_chemical_formula_sum 'Pm6 P2 Ir1 Cl3'
_symmetry_space_group_name_H-M 'P 1'
_symmetry_Int_Tables_number 1
_cell_length_a 4.041
_cell_length_b 8.626
_cell_length_c 9.402
_cell_angle_alpha 103.56
_cell_angle_beta 102.41
_cell_angle_gamma 90.00
loop_
_symmetry_equiv_pos_as_xyz
'x,y,z'
loop_
_atom_site_label
_atom_site_type_symbol
_atom_site_fract_x
_atom_site_fract_y
_atom_site_fract_z
_atom_site_occupancy
Pm1 Pm 0.341 0.895 0.682 1
Pm2 Pm 0.007 0.226 0.013 1
Pm3 Pm 0.325 0.435 0.649 1
Pm4 Pm 0.659 0.105 0.318 1
Pm5 Pm 0.993 0.774 0.987 1
Pm6 Pm 0.675 0.565 0.351 1
Cl1 Cl 0.171 0.830 0.342 1
Cl2 Cl 0.500 0.500 0.000 1
Cl3 Cl 0.829 0.170 0.658 1
Ir1 Ir 0.500 0.000 0.000 1
P1 P 0.167 0.337 0.334 1
P2 P 0.833 0.663 0.666 1
# **Calculated volume**: 25.894 Å³ per atom
# **Size of the total moment**: 0.0 Bohr magnetons per cell
# **E_form (uncorrected)**: -139 kJ/mol of atoms

# PBE Pr8PIr3Cl4, optimized geometry
data_Pr8PIr3Cl4
_chemical_formula_sum 'Pr8 P1 Ir3 Cl4'
_symmetry_space_group_name_H-M 'P 1'
_symmetry_Int_Tables_number 1
_cell_length_a 8.407
_cell_length_b 8.883
_cell_length_c 8.406
_cell_angle_alpha 118.27
_cell_angle_beta 120.00
_cell_angle_gamma 90.00
loop_
_symmetry_equiv_pos_as_xyz
'x,y,z'
loop_
_atom_site_label
_atom_site_type_symbol
_atom_site_fract_x
_atom_site_fract_y
_atom_site_fract_z
_atom_site_occupancy
Cl1 Cl 0.000 0.000 0.000 1
Cl2 Cl 0.000 0.000 0.500 1
Cl3 Cl 0.500 0.000 0.000 1
Cl4 Cl 0.500 0.000 0.500 1
Pr1 Pr 0.264 0.294 0.529 1
Pr2 Pr 0.760 0.293 0.033 1
Pr3 Pr 0.736 0.706 0.471 1
Pr4 Pr 0.727 0.707 0.967 1
Pr5 Pr 0.240 0.707 0.967 1
Pr6 Pr 0.240 0.707 0.480 1
Pr7 Pr 0.760 0.293 0.520 1
Pr8 Pr 0.273 0.293 0.033 1
P1 P 0.000 0.500 0.000 1
Ir1 Ir 0.000 0.500 0.500 1
Ir2 Ir 0.500 0.500 0.500 1
Ir3 Ir 0.500 0.500 0.000 1
# **Calculated volume**: 28.447 Å³ per atom
# **Size of the total moment**: 0.0 Bohr magnetons per cell
# **E_form (uncorrected)**: -120 kJ/mol of atoms

What did the first record say?
# PBE Pm6P2IrCl3, optimized geometry
data_Pm6P2IrCl3
_chemical_formula_sum 'Pm6 P2 Ir1 Cl3'
_symmetry_space_group_name_H-M 'P 1'
_symmetry_Int_Tables_number 1
_cell_length_a 4.041
_cell_length_b 8.626
_cell_length_c 9.402
_cell_angle_alpha 103.56
_cell_angle_beta 102.41
_cell_angle_gamma 90.00
loop_
_symmetry_equiv_pos_as_xyz
'x,y,z'
loop_
_atom_site_label
_atom_site_type_symbol
_atom_site_fract_x
_atom_site_fract_y
_atom_site_fract_z
_atom_site_occupancy
Pm1 Pm 0.341 0.895 0.682 1
Pm2 Pm 0.007 0.226 0.013 1
Pm3 Pm 0.325 0.435 0.649 1
Pm4 Pm 0.659 0.105 0.318 1
Pm5 Pm 0.993 0.774 0.987 1
Pm6 Pm 0.675 0.565 0.351 1
Cl1 Cl 0.171 0.830 0.342 1
Cl2 Cl 0.500 0.500 0.000 1
Cl3 Cl 0.829 0.170 0.658 1
Ir1 Ir 0.500 0.000 0.000 1
P1 P 0.167 0.337 0.334 1
P2 P 0.833 0.663 0.666 1
# **Calculated volume**: 25.894 Å³ per atom
# **Size of the total moment**: 0.0 Bohr magnetons per cell
# **E_form (uncorrected)**: -139 kJ/mol of atoms

> E_form (uncorrected) of number 2 (Pr8PIr3Cl4)?

-120 kJ/mol of atoms

> Which of these has the highest E_form (uncorrected)?

Pr8PIr3Cl4

> Number 2 is which compound?

Pr8PIr3Cl4